(1)
! Ta4IrW, relaxed, DFT PBE; values from VASP
! Formation enthalpy at 0 K (meV/atom): 393
! Crystal system: cubic
&SYSTEM
  ibrav = 0, nat = 6, ntyp = 3
/
ATOMIC_SPECIES
Ta 180.95 Ta.upf
Ir 192.22 Ir.upf
W 183.84 W.upf
CELL_PARAMETERS angstrom
0.000 3.764 3.764
3.764 0.000 3.764
3.764 3.764 0.000
ATOMIC_POSITIONS angstrom
Ta 2.829 4.700 4.700
Ta 4.700 4.700 2.829
Ta 4.700 2.829 4.700
Ta 2.829 2.829 2.829
Ir 0.000 0.000 0.000
W 5.646 5.646 5.646


(2)
! TeRu, relaxed, DFT PBE; values from VASP
! VASP energy (eV per atom): -6.020
! Crystal system: tetragonal
&SYSTEM
  ibrav = 0, nat = 16, ntyp = 2
/
ATOMIC_SPECIES
Te 127.60 Te.upf
Ru 101.07 Ru.upf
CELL_PARAMETERS angstrom
-7.689 -2.867 -6.996
4.053 -9.986 -0.362
-2.319 -1.049 2.979
ATOMIC_POSITIONS angstrom
Te -2.423 -3.298 -3.048
Te -1.213 -9.556 -4.310
Te -4.366 -6.513 -5.693
Te 0.730 -6.340 -1.665
Te -5.401 -10.249 -5.237
Te -0.555 -3.654 0.859
Te 0.346 -10.598 -0.886
Te -6.301 -3.306 -3.492
Ru 0.558 -8.763 -2.652
Ru -4.194 -4.091 -4.706
Ru -0.317 -4.013 -1.660
Ru -3.319 -8.841 -5.697
Ru -6.473 -5.728 -4.479
Ru 0.518 -8.175 0.101
Ru -3.295 -10.965 -3.849
Ru -2.661 -2.939 -0.529